(1)
! Mg3Zr2Tl3 (PBE-GGA, relaxed); values from VASP
! - DOS at the Fermi energy: 3.0 states/eV per cell
! - Formation energy from the elements: -8 kJ per mole of atoms
! - Magnetization: 0.000 μB per atom
&SYSTEM
  ibrav = 0, nat = 8, ntyp = 3
/
ATOMIC_SPECIES
Zr 91.22 Zr.upf
Tl 204.38 Tl.upf
Mg 24.30 Mg.upf
CELL_PARAMETERS angstrom
-2.501 -3.659 -0.975
3.537 -2.645 0.855
-2.448 -0.562 8.391
ATOMIC_POSITIONS angstrom
Zr -1.829 -0.420 6.271
Zr -0.618 -0.142 2.120
Tl 0.545 -1.604 4.623
Tl -2.474 -2.111 3.708
Tl 1.769 -1.323 0.427
Mg -0.080 -3.289 1.989
Mg -1.332 -3.577 6.281
Mg -1.250 -1.829 -0.487

***

(2)
! HoTlFeCl6 (PBE-GGA, relaxed); values from VASP
! - DOS at the Fermi energy: 6.8 states/eV per cell
! - Formation energy (no corrections): -1476 meV/atom
! - Magnetization: 0.444 μB per atom
&SYSTEM
  ibrav = 0, nat = 9, ntyp = 4
/
ATOMIC_SPECIES
Fe 55.84 Fe.upf
Cl 35.45 Cl.upf
Ho 164.93 Ho.upf
Tl 204.38 Tl.upf
CELL_PARAMETERS angstrom
6.689 -0.002 -0.001
3.343 5.790 -0.003
-0.003 -0.006 7.153
ATOMIC_POSITIONS angstrom
Fe 6.683 3.857 3.574
Cl 8.697 3.662 5.052
Cl 4.668 3.678 2.109
Cl 5.525 2.191 5.033
Cl 7.859 2.212 2.096
Cl 7.547 5.694 2.114
Cl 5.831 5.693 5.038
Ho 3.337 1.930 3.575
Tl 6.682 -0.005 7.152

***

(3)
! LiSiW2 (PBE-GGA, relaxed); values from VASP
! - DOS at the Fermi energy: 1.2 states/eV per cell
! - Formation energy (no corrections): 108 meV/atom
! - Magnetization: 0.000 μB per atom
&SYSTEM
  ibrav = 0, nat = 4, ntyp = 3
/
ATOMIC_SPECIES
W 183.84 W.upf
Si 28.09 Si.upf
Li 6.94 Li.upf
CELL_PARAMETERS angstrom
-3.523 -1.222 -2.004
1.406 -1.932 -1.294
-0.515 -3.813 3.232
ATOMIC_POSITIONS angstrom
W -0.463 -3.837 3.155
W -1.564 -2.103 -0.439
Si -1.290 -4.624 0.617
Li 0.616 -3.088 0.802

***

(4)
! Ba2HgHRh (PBE-GGA, relaxed); values from VASP
! - DOS at the Fermi energy: 5.6 states/eV per cell
! - Magnetization: 0.000 μB per atom
! - Energy relative to the lowest polymorph listed for this composition: 0 meV/atom
&SYSTEM
  ibrav = 0, nat = 10, ntyp = 4
/
ATOMIC_SPECIES
Ba 137.33 Ba.upf
Rh 102.91 Rh.upf
Hg 200.59 Hg.upf
H 1.01 H.upf
CELL_PARAMETERS angstrom
-2.581 3.161 1.980
-0.758 -4.144 5.628
7.590 5.305 1.424
ATOMIC_POSITIONS angstrom
Ba 6.500 4.901 3.246
Ba 2.207 1.970 2.329
Ba 2.043 2.352 6.703
Ba -2.250 -0.579 5.786
Rh -0.504 1.867 4.157
Rh 4.754 2.455 4.875
Hg 1.093 -0.411 4.679
Hg 3.157 4.733 4.353
H -0.929 2.471 2.639
H 5.179 1.851 6.393

***

(5)
! Sr3Al2Si2 (PBE-GGA, relaxed); values from VASP
! - DOS at the Fermi energy: 3.1 states/eV per cell
! - Formation energy (no corrections): -325 meV/atom
! - Magnetization: 0.000 μB per atom
! - Energy relative to the lowest polymorph listed for this composition: 85 meV/atom
&SYSTEM
  ibrav = 0, nat = 7, ntyp = 3
/
ATOMIC_SPECIES
Sr 87.62 Sr.upf
Al 26.98 Al.upf
Si 28.09 Si.upf
CELL_PARAMETERS angstrom
4.645 0.000 0.000
-2.323 5.355 -2.407
0.000 -0.232 8.082
ATOMIC_POSITIONS angstrom
Sr 0.000 3.333 1.517
Sr 2.323 1.791 4.158
Sr 2.323 0.000 0.000
Al 2.323 3.283 -0.888
Al 0.000 1.841 6.563
Si 0.000 0.091 2.788
Si 2.323 5.033 2.887

***

(6)
! KPdS3 (PBE-GGA, relaxed); values from VASP
! - DOS at the Fermi energy: 6.5 states/eV per cell
! - Formation energy (no corrections): -44 meV/atom
! - Magnetization: 0.285 μB per atom
&SYSTEM
  ibrav = 0, nat = 5, ntyp = 3
/
ATOMIC_SPECIES
S 32.06 S.upf
K 39.10 K.upf
Pd 106.42 Pd.upf
CELL_PARAMETERS angstrom
4.836 0.000 0.000
0.000 4.836 0.000
0.000 0.000 4.836
ATOMIC_POSITIONS angstrom
S 0.000 0.000 2.418
S 2.418 0.000 0.000
S 0.000 2.418 0.000
K 2.418 2.418 2.418
Pd 0.000 0.000 0.000

***

(7)
! MgNpAl2Au2 (PBE-GGA, relaxed); values from VASP
! - DOS at the Fermi energy: 13.1 states/eV per cell
! - Formation energy from the elements: -30 kJ per mole of atoms
! - Magnetization: 0.738 μB per atom
&SYSTEM
  ibrav = 0, nat = 6, ntyp = 4
/
ATOMIC_SPECIES
Np 237.00 Np.upf
Mg 24.30 Mg.upf
Al 26.98 Al.upf
Au 196.97 Au.upf
CELL_PARAMETERS angstrom
4.487 0.000 0.000
-2.244 3.886 0.000
0.000 0.000 6.849
ATOMIC_POSITIONS angstrom
Np 0.000 0.000 0.000
Mg 0.000 0.000 3.425
Al 2.244 1.295 1.926
Al 0.000 2.591 4.923
Au 0.000 2.591 1.922
Au 2.244 1.295 4.927

***

(8)
! LiMgBe (PBE-GGA, relaxed); values from VASP
! - DOS at the Fermi energy: 2.2 states/eV per cell
! - Formation energy from the elements: 46 kJ per mole of atoms
! - Magnetization: 0.000 μB per atom
! - Energy relative to the lowest polymorph listed for this composition: 350 meV/atom
&SYSTEM
  ibrav = 0, nat = 3, ntyp = 3
/
ATOMIC_SPECIES
Mg 24.30 Mg.upf
Li 6.94 Li.upf
Be 9.01 Be.upf
CELL_PARAMETERS angstrom
4.309 0.000 0.000
2.155 3.732 0.000
2.155 1.244 3.518
ATOMIC_POSITIONS angstrom
Mg 4.309 2.488 1.759
Li 0.000 0.000 0.000
Be 2.155 1.244 0.880

***

Q: Which value of magnetization does entry 5 give?
A: 0.000 μB per atom

***

Repeat the fourth record exactly.
! Ba2HgHRh (PBE-GGA, relaxed); values from VASP
! - DOS at the Fermi energy: 5.6 states/eV per cell
! - Magnetization: 0.000 μB per atom
! - Energy relative to the lowest polymorph listed for this composition: 0 meV/atom
&SYSTEM
  ibrav = 0, nat = 10, ntyp = 4
/
ATOMIC_SPECIES
Ba 137.33 Ba.upf
Rh 102.91 Rh.upf
Hg 200.59 Hg.upf
H 1.01 H.upf
CELL_PARAMETERS angstrom
-2.581 3.161 1.980
-0.758 -4.144 5.628
7.590 5.305 1.424
ATOMIC_POSITIONS angstrom
Ba 6.500 4.901 3.246
Ba 2.207 1.970 2.329
Ba 2.043 2.352 6.703
Ba -2.250 -0.579 5.786
Rh -0.504 1.867 4.157
Rh 4.754 2.455 4.875
Hg 1.093 -0.411 4.679
Hg 3.157 4.733 4.353
H -0.929 2.471 2.639
H 5.179 1.851 6.393